1:
CaPuRu PBE-GGA relaxed; calculated density = 7.51 Mg/m³
1.0
-1.2089 -0.4371 3.9420
-2.8384 0.2704 -3.0210
2.4611 -11.3839 -0.5077
Pu Ru Ca
2 2 2
Direct
0.1998 0.3995 0.6029
0.8002 0.6005 0.3971
0.1062 0.2123 0.3150
0.8938 0.7877 0.6850
0.3844 0.7689 0.1481
0.6156 0.2311 0.8519

***

2:
CaPuRu PBE-GGA relaxed; calculated density = 7.80 Mg/m³
1.0
3.8984 0.0004 0.0028
-0.0006 6.0661 -0.0025
0.0141 0.0033 6.9302
Ca Pu Ru
2 2 2
Direct
0.6204 0.4545 0.9758
0.1238 0.9545 0.2741
0.6239 0.9546 0.7609
0.6254 0.4545 0.4770
0.1241 0.6905 0.6649
0.1241 0.2186 0.6649

***

Most stable: 2

***

1:
CaPuSb2 PBE-GGA relaxed; calculated density = 6.97 Mg/m³
1.0
6.3403 0.0000 0.0000
0.0000 6.3403 0.0000
0.0000 0.0000 12.5132
Pu Sb Ca
4 8 4
Direct
0.7500 0.2502 0.5000
0.2500 0.7502 0.0000
0.7500 0.2498 0.0000
0.2500 0.7498 0.5000
0.7500 0.7502 0.4999
0.2500 0.2502 0.0001
0.7500 0.2499 0.2500
0.2500 0.2498 0.5001
0.7500 0.7498 0.9999
0.7500 0.2501 0.7500
0.2500 0.7501 0.7500
0.2500 0.7499 0.2500
0.2500 0.2500 0.2502
0.7500 0.7500 0.2498
0.7500 0.7500 0.7498
0.2500 0.2500 0.7502

***

2:
CaPuSb2 PBE-GGA relaxed; calculated density = 7.77 Mg/m³
1.0
5.4237 0.0000 0.0000
2.7119 4.6971 0.0000
2.7119 1.5657 4.4285
Pu Sb Ca
1 2 1
Direct
0.0000 0.0000 0.0000
0.7500 0.7500 0.7500
0.2500 0.2500 0.2500
0.5000 0.5000 0.5000

***

Most stable: 1